VASP calculation (PBE) on an optimized crystal structure of Cs2AgTe.

Cell lengths 6.363, 6.363, 6.363 Å; angles 60.00, 60.00, 60.00 degrees
Sites, in units of the cell vectors:
Te1 0.500 0.500 0.500
Cs1 0.250 0.250 0.250
Ag1 0.000 0.000 0.000
Cs2 0.750 0.750 0.750

Results
Formation energy (no corrections) = -0.3445 eV/atom
Distance to the lowest polymorph of the same formula = 24.6 kJ per mole of atoms